No. 1
Entry from Alexandria: Na2TlAs2 after structural relaxation (PBEsol).

Structure (POSCAR):
```
Na2TlAs2
1.0
-2.359 2.359 5.800
2.359 -2.359 5.800
2.359 2.359 -5.800
Na Tl As
2 1 2
direct
0.250 0.750 0.500
0.750 0.250 0.500
0.000 0.000 0.000
0.400 0.400 0.000
0.600 0.600 0.000
```

Summary:
For the formation energy, the calculation gives -0.155 eV per atom. Its symmetry is No. 139.

=====

No. 2
Entry from Alexandria: MgTaRu2 after structural relaxation (PBEsol).

Structure (POSCAR):
```
MgTaRu2
1.0
-1.573 2.137 4.483
1.573 -2.137 4.483
1.573 2.137 -4.483
Mg Ta Ru
1 1 2
direct
0.000 0.000 0.000
0.731 0.231 0.500
0.253 0.753 0.500
0.500 0.500 0.000
```

Summary:
For the formation energy, the calculation gives -0.077 eV per atom. Its symmetry is No. 44.

=====

No. 3
Entry from Alexandria: BeReAg2 after structural relaxation (PBEsol).

Structure (POSCAR):
```
BeReAg2
1.0
4.733 -1.304 0.000
4.733 1.304 0.000
-1.769 0.000 4.570
Be Re Ag
1 1 2
direct
0.000 0.000 0.000
0.733 0.733 0.097
0.289 0.289 0.646
0.516 0.516 0.450
```

Summary:
For the formation energy, the calculation gives 0.471 eV per atom. Its symmetry is No. 8.

=====

No. 4
Entry from Alexandria: SrSnRh3 after structural relaxation (PBEsol).

Structure (POSCAR):
```
SrSnRh3
1.0
4.832 0.000 0.000
0.000 4.832 0.000
0.000 0.000 4.832
Sr Sn Rh
1 1 3
direct
0.000 0.000 0.000
0.500 0.500 0.500
0.000 0.000 0.500
0.000 0.500 0.000
0.500 0.000 0.000
```

Summary:
For the formation energy, the calculation gives 1.622 eV per atom. Its symmetry is No. 221.

=====

No. 5
Entry from Alexandria: CsB5O8 after structural relaxation (PBEsol).

Structure (POSCAR):
```
CsB5O8
1.0
8.795 0.000 0.000
0.000 21.653 0.000
0.000 0.000 8.802
Cs B O
8 40 64
direct
0.062 0.118 0.109
0.062 0.382 0.609
0.438 0.618 0.109
0.438 0.882 0.609
0.562 0.118 0.391
0.562 0.382 0.891
0.938 0.618 0.391
0.938 0.882 0.891
0.045 0.701 0.014
0.045 0.799 0.514
0.150 0.122 0.515
0.150 0.378 0.015
0.196 0.045 0.717
0.196 0.455 0.217
0.213 0.232 0.526
0.213 0.268 0.026
0.247 0.517 0.460
0.247 0.983 0.960
0.253 0.017 0.460
0.253 0.483 0.960
0.287 0.732 0.526
0.287 0.768 0.026
0.304 0.545 0.717
0.304 0.955 0.217
0.350 0.622 0.515
0.350 0.878 0.015
0.455 0.201 0.014
0.455 0.299 0.514
0.545 0.701 0.486
0.545 0.799 0.986
0.650 0.122 0.985
0.650 0.378 0.485
0.696 0.045 0.783
0.696 0.455 0.283
0.713 0.232 0.974
0.713 0.268 0.474
0.747 0.517 0.040
0.747 0.983 0.540
0.753 0.017 0.040
0.753 0.483 0.540
0.787 0.732 0.974
0.787 0.768 0.474
0.804 0.545 0.783
0.804 0.955 0.283
0.850 0.622 0.985
0.850 0.878 0.485
0.955 0.201 0.486
0.955 0.299 0.986
0.000 0.142 0.462
0.000 0.358 0.962
0.000 0.642 0.038
0.000 0.858 0.538
0.058 0.246 0.530
0.058 0.254 0.030
0.139 0.099 0.672
0.139 0.401 0.172
0.190 0.029 0.869
0.190 0.471 0.369
0.195 0.717 0.039
0.195 0.783 0.539
0.205 0.073 0.410
0.205 0.427 0.910
0.239 0.673 0.508
0.239 0.827 0.008
0.242 0.503 0.614
0.242 0.997 0.114
0.258 0.003 0.614
0.258 0.497 0.114
0.261 0.173 0.508
0.261 0.327 0.008
0.295 0.573 0.410
0.295 0.927 0.910
0.305 0.217 0.039
0.305 0.283 0.539
0.310 0.529 0.869
0.310 0.971 0.369
0.361 0.599 0.672
0.361 0.901 0.172
0.442 0.746 0.530
0.442 0.754 0.030
0.500 0.142 0.038
0.500 0.358 0.538
0.500 0.642 0.462
0.500 0.858 0.962
0.558 0.246 0.970
0.558 0.254 0.470
0.639 0.099 0.828
0.639 0.401 0.328
0.690 0.029 0.631
0.690 0.471 0.131
0.695 0.717 0.461
0.695 0.783 0.961
0.705 0.073 0.090
0.705 0.427 0.590
0.739 0.673 0.992
0.739 0.827 0.492
0.742 0.503 0.886
0.742 0.997 0.386
0.758 0.003 0.886
0.758 0.497 0.386
0.761 0.173 0.992
0.761 0.327 0.492
0.795 0.573 0.090
0.795 0.927 0.590
0.805 0.217 0.461
0.805 0.283 0.961
0.810 0.529 0.631
0.810 0.971 0.131
0.861 0.599 0.828
0.861 0.901 0.328
0.942 0.746 0.970
0.942 0.754 0.470
```

Summary:
Its symmetry is No. 61. Its formation energy without anion corrections is -2.448 eV/atom.

=====

No. 6
Entry from Alexandria: Ir2RuAu after structural relaxation (PBEsol).

Structure (POSCAR):
```
Ir2RuAu
1.0
3.868 0.000 0.000
0.000 3.868 0.000
0.000 0.000 3.880
Ir Ru Au
2 1 1
direct
0.000 0.500 0.000
0.500 0.000 0.000
0.000 0.000 0.500
0.500 0.500 0.500
```

Summary:
For the formation energy, the calculation gives 0.405 eV per atom. Its symmetry is No. 123.

=====

No. 7
Entry from Alexandria: Sr2AgSnO after structural relaxation (PBEsol).

Structure (POSCAR):
```
Sr2AgSnO
1.0
6.142 0.000 0.000
0.000 6.142 0.000
0.000 0.000 4.941
Sr Ag Sn O
2 1 1 1
direct
0.000 0.500 0.000
0.500 0.000 0.000
0.000 0.000 0.500
0.000 0.000 0.000
0.500 0.500 0.500
```

Summary:
Its symmetry is No. 123. Its formation energy without anion corrections is 0.098 eV/atom.

=====

No. 8
Entry from Alexandria: LaYBe2 after structural relaxation (PBEsol).

Structure (POSCAR):
```
LaYBe2
1.0
2.021 1.167 6.013
-2.021 1.167 6.013
0.000 -2.334 6.013
La Y Be
1 1 2
direct
0.000 0.000 0.000
0.189 0.189 0.189
0.437 0.437 0.437
0.775 0.775 0.775
```

Summary:
For the formation energy, the calculation gives 0.113 eV per atom. Its symmetry is No. 160.

=====

No. 9
Entry from Alexandria: ReAs2IrSe after structural relaxation (PBEsol).

Structure (POSCAR):
```
ReAs2IrSe
1.0
4.638 0.000 0.000
0.000 4.638 0.000
0.000 0.000 4.910
Re As Ir Se
1 2 1 1
direct
0.000 0.000 0.000
0.000 0.500 0.500
0.500 0.000 0.500
0.500 0.500 0.500
0.500 0.500 0.000
```

Summary:
Its symmetry is No. 123. Its formation energy without anion corrections is 1.485 eV/atom.

=====

No. 10
Entry from Alexandria: ZrAlHg2Br after structural relaxation (PBEsol).

Structure (POSCAR):
```
ZrAlHg2Br
1.0
5.409 0.000 0.000
0.000 5.409 0.000
0.000 0.000 4.917
Zr Al Hg Br
1 1 2 1
direct
0.000 0.000 0.000
0.500 0.500 0.000
0.000 0.500 0.500
0.500 0.000 0.500
0.000 0.000 0.500
```

Summary:
Its symmetry is No. 123. Its formation energy without anion corrections is 0.826 eV/atom.

=====

No. 11
Entry from Alexandria: TlAg2Te2 after structural relaxation (PBEsol).

Structure (POSCAR):
```
TlAg2Te2
1.0
-2.261 2.261 6.390
2.261 -2.261 6.390
2.261 2.261 -6.390
Tl Ag Te
1 2 2
direct
0.000 0.000 0.000
0.397 0.397 0.000
0.603 0.603 0.000
0.250 0.750 0.500
0.750 0.250 0.500
```

Summary:
Its symmetry is No. 139. Its formation energy without anion corrections is 0.153 eV/atom.

=====

No. 12
Entry from Alexandria: LiCoBrCl2 after structural relaxation (PBEsol).

Structure (POSCAR):
```
LiCoBrCl2
1.0
4.521 0.000 0.000
0.000 4.521 0.000
0.000 0.000 5.180
Li Co Br Cl
1 1 1 2
direct
0.000 0.000 0.000
0.500 0.500 0.500
0.500 0.500 0.000
0.000 0.500 0.500
0.500 0.000 0.500
```

Summary:
Its symmetry is No. 123. Its formation energy without anion corrections is -0.668 eV/atom.

=====

No. 13
Entry from Alexandria: AsWSN2 after structural relaxation (PBEsol).

Structure (POSCAR):
```
AsWSN2
1.0
3.731 0.000 0.000
0.000 3.731 0.000
0.000 0.000 4.515
As W S N
1 1 1 2
direct
0.000 0.000 0.000
0.500 0.500 0.500
0.000 0.000 0.500
0.000 0.500 0.000
0.500 0.000 0.000
```

Summary:
Its symmetry is No. 123. Its formation energy without anion corrections is 1.554 eV/atom.

=====

No. 14
Entry from Alexandria: ZrTa3 after structural relaxation (PBEsol).

Structure (POSCAR):
```
ZrTa3
1.0
-1.377 4.971 2.746
1.377 -4.971 2.746
1.377 4.971 -2.746
Zr Ta
1 3
direct
0.000 0.000 0.000
0.485 0.733 0.752
0.495 0.995 0.500
0.981 0.733 0.248
```

Summary:
For the formation energy, the calculation gives 0.241 eV per atom. Its symmetry is No. 44.

=====

No. 15
Entry from Alexandria: Ca2ScSb after structural relaxation (PBEsol).

Structure (POSCAR):
```
Ca2ScSb
1.0
-2.285 2.285 5.232
2.285 -2.285 5.232
2.285 2.285 -5.232
Ca Sc Sb
2 1 1
direct
0.000 0.000 0.000
0.750 0.250 0.500
0.250 0.750 0.500
0.500 0.500 0.000
```

Summary:
Its symmetry is No. 119. Its formation energy without anion corrections is -0.382 eV/atom.

=====

No. 16
Entry from Alexandria: LiFeF3 after structural relaxation (PBEsol).

Structure (POSCAR):
```
LiFeF3
1.0
4.238 2.447 3.443
-4.238 2.447 3.443
0.000 -4.894 3.443
Li Fe F
4 4 12
direct
0.000 0.000 0.000
0.257 0.498 0.767
0.498 0.767 0.257
0.767 0.257 0.498
0.043 0.547 0.225
0.225 0.043 0.547
0.547 0.225 0.043
0.718 0.718 0.718
0.002 0.647 0.897
0.110 0.369 0.506
0.152 0.871 0.254
0.254 0.152 0.871
0.369 0.506 0.110
0.390 0.751 0.617
0.506 0.110 0.369
0.617 0.390 0.751
0.647 0.897 0.002
0.751 0.617 0.390
0.871 0.254 0.152
0.897 0.002 0.647
```

Summary:
Its symmetry is No. 146. Its formation energy without anion corrections is -2.250 eV/atom.

=====

No. 17
Entry from Alexandria: NiMoIr2 after structural relaxation (PBEsol).

Structure (POSCAR):
```
NiMoIr2
1.0
4.408 -1.342 0.000
4.408 1.342 0.000
-0.797 0.000 4.570
Ni Mo Ir
1 1 2
direct
0.000 0.000 0.000
0.500 0.500 0.500
0.251 0.251 0.756
0.749 0.749 0.244
```

Summary:
For the formation energy, the calculation gives -0.125 eV per atom. Its symmetry is No. 12.

=====

No. 18
Entry from Alexandria: ZrSe4Br after structural relaxation (PBEsol).

Structure (POSCAR):
```
ZrSe4Br
1.0
0.000 3.946 3.946
3.946 0.000 3.946
3.946 3.946 0.000
Zr Se Br
1 4 1
direct
0.000 0.000 0.000
0.122 0.626 0.626
0.626 0.122 0.626
0.626 0.626 0.122
0.626 0.626 0.626
0.250 0.250 0.250
```

Summary:
Its symmetry is No. 216. Its formation energy without anion corrections is 0.091 eV/atom.

=====

No. 19
Entry from Alexandria: AsAuBr2 after structural relaxation (PBEsol).

Structure (POSCAR):
```
AsAuBr2
1.0
3.450 0.000 0.000
0.000 3.450 0.000
0.000 0.000 6.964
As Au Br
1 1 2
direct
0.000 0.000 0.000
0.000 0.000 0.500
0.500 0.500 0.244
0.500 0.500 0.756
```

Summary:
Its symmetry is No. 123. Its formation energy without anion corrections is 0.531 eV/atom.

=====

No. 20
Entry from Alexandria: RbBaBi3 after structural relaxation (PBEsol).

Structure (POSCAR):
```
RbBaBi3
1.0
6.005 0.000 0.000
0.000 6.005 0.000
0.000 0.000 6.005
Rb Ba Bi
1 1 3
direct
0.000 0.000 0.000
0.500 0.500 0.500
0.000 0.000 0.500
0.000 0.500 0.000
0.500 0.000 0.000
```

Summary:
For the formation energy, the calculation gives 0.434 eV per atom. Its symmetry is No. 221.

=====

No. 21
Entry from Alexandria: TbAl2Ni after structural relaxation (PBEsol).

Structure (POSCAR):
```
TbAl2Ni
1.0
2.008 -5.088 0.000
2.008 5.088 0.000
0.000 0.000 6.813
Tb Al Ni
2 4 2
direct
0.060 0.940 0.750
0.940 0.060 0.250
0.342 0.658 0.554
0.342 0.658 0.946
0.658 0.342 0.054
0.658 0.342 0.446
0.216 0.784 0.250
0.784 0.216 0.750
```

Summary:
For the formation energy, the calculation gives -0.639 eV per atom. Its symmetry is No. 63.

=====

No. 22
Entry from Alexandria: YCuOs2 after structural relaxation (PBEsol).

Structure (POSCAR):
```
YCuOs2
1.0
-1.919 1.919 4.376
1.919 -1.919 4.376
1.919 1.919 -4.376
Y Cu Os
1 1 2
direct
0.000 0.000 0.000
0.500 0.500 0.000
0.250 0.750 0.500
0.750 0.250 0.500
```

Summary:
For the formation energy, the calculation gives 0.427 eV per atom. Its symmetry is No. 139.